(1)
# U2GeAu | the Alexandria database | GGA-PBE | relaxed
# **Energy of formation**: -0.0661 eV/atom
# **Energy**: -30.7 eV per formula unit
# **D(E_F)**: 2.0359 states/eV per atom
data_U2GeAu
_chemical_formula_sum 'U2 Ge1 Au1'
_cell_length_a 5.5157
_cell_length_b 5.5157
_cell_length_c 2.9016
_cell_angle_alpha 90.00
_cell_angle_beta 90.00
_cell_angle_gamma 90.00
_space_group_name_H-M_alt 'P 4/m m m'
_space_group_IT_number 123
_space_group_name_Hall '-P 4 2'
loop_
_atom_site_label
_atom_site_type_symbol
_atom_site_fract_x
_atom_site_fract_y
_atom_site_fract_z
U1 U 0.0000 0.5000 0.0000
Ge1 Ge 0.0000 0.0000 0.5000
Au1 Au 0.5000 0.5000 0.5000

(2)
# LiCr2Tc | the Alexandria database | GGA-PBE | relaxed
# **Energy of formation**: 0.3114 eV/atom
# **Energy**: -30.3 eV per formula unit
# **D(E_F)**: 0.7652 states/eV per atom
data_LiCr2Tc
_chemical_formula_sum 'Li2 Cr4 Tc2'
_cell_length_a 5.0545
_cell_length_b 8.4645
_cell_length_c 2.4762
_cell_angle_alpha 90.00
_cell_angle_beta 109.77
_cell_angle_gamma 90.00
_space_group_name_H-M_alt 'C 1 2/m 1'
_space_group_IT_number 12
loop_
_space_group_symop_operation_xyz
'x,y,z'
'-x,-y,-z'
'-x,y,-z'
'x,-y,z'
'x+1/2,y+1/2,z'
'-x+1/2,-y+1/2,-z'
'-x+1/2,y+1/2,-z'
'x+1/2,-y+1/2,z'
loop_
_atom_site_label
_atom_site_type_symbol
_atom_site_fract_x
_atom_site_fract_y
_atom_site_fract_z
Li1 Li 0.0000 0.0000 0.0000
Cr1 Cr 0.2500 0.2500 0.5000
Tc1 Tc 0.0000 0.5000 0.0000

(3)
# K2MgTcMo | the Alexandria database | GGA-PBE | relaxed
# **Energy of formation**: 2.0919 eV/atom
# **Energy**: -14.5 eV per formula unit
# **D(E_F)**: 0.6705 states/eV per atom
data_K2MgTcMo
_chemical_formula_sum 'K2 Mg1 Tc1 Mo1'
_cell_length_a 6.3429
_cell_length_b 6.3429
_cell_length_c 5.4185
_cell_angle_alpha 90.00
_cell_angle_beta 90.00
_cell_angle_gamma 90.00
_space_group_name_H-M_alt 'P 4/m m m'
_space_group_IT_number 123
_space_group_name_Hall '-P 4 2'
loop_
_atom_site_label
_atom_site_type_symbol
_atom_site_fract_x
_atom_site_fract_y
_atom_site_fract_z
K1 K 0.0000 0.5000 0.0000
Mg1 Mg 0.0000 0.0000 0.5000
Tc1 Tc 0.5000 0.5000 0.5000
Mo1 Mo 0.0000 0.0000 0.0000

(4)
# Al3Sn5Hg12 | the Alexandria database | GGA-PBE | relaxed
# **Energy of formation**: 0.1944 eV/atom
# **Energy**: -31.0 eV per formula unit
# **D(E_F)**: 0.3213 states/eV per atom
data_Al3Sn5Hg12
_chemical_formula_sum 'Al24 Sn40 Hg96'
_cell_length_a 16.6560
_cell_length_b 16.6560
_cell_length_c 16.6560
_cell_angle_alpha 90.00
_cell_angle_beta 90.00
_cell_angle_gamma 90.00
_space_group_name_H-M_alt 'I a -3 d'
_space_group_IT_number 230
_space_group_name_Hall '-I 4bd 2c 3'
loop_
_atom_site_label
_atom_site_type_symbol
_atom_site_fract_x
_atom_site_fract_y
_atom_site_fract_z
Al1 Al 0.0000 0.2500 0.1250
Sn1 Sn 0.0000 0.0000 0.0000
Sn2 Sn 0.0000 0.2500 0.3750
Hg1 Hg 0.0215 0.0904 0.6508

(5)
# DyPaV4 | the Alexandria database | GGA-PBE | relaxed
# **Energy of formation**: 0.1834 eV/atom
# **Energy**: -49.5 eV per formula unit
# **D(E_F)**: 0.9966 states/eV per atom
data_DyPaV4
_chemical_formula_sum 'Dy4 Pa4 V16'
_cell_length_a 7.5113
_cell_length_b 7.5113
_cell_length_c 7.5113
_cell_angle_alpha 90.00
_cell_angle_beta 90.00
_cell_angle_gamma 90.00
_space_group_name_H-M_alt 'F -4 3 m'
_space_group_IT_number 216
_space_group_name_Hall 'F -4 2 3'
loop_
_atom_site_label
_atom_site_type_symbol
_atom_site_fract_x
_atom_site_fract_y
_atom_site_fract_z
Dy1 Dy 0.0000 0.0000 0.0000
Pa1 Pa 0.2500 0.2500 0.2500
V1 V 0.1233 0.1233 0.6233

(6)
# Ni3PRu | the Alexandria database | GGA-PBE | relaxed
# **Energy of formation**: 0.4446 eV/atom
# **Energy**: -29.8 eV per formula unit
# **Polymorph energy (0 for the lowest one)**: 0.000 eV per atom
# **D(E_F)**: 1.3913 states/eV per atom
data_Ni3PRu
_chemical_formula_sum 'Ni3 P1 Ru1'
_cell_length_a 4.1201
_cell_length_b 4.1201
_cell_length_c 4.1201
_cell_angle_alpha 90.00
_cell_angle_beta 90.00
_cell_angle_gamma 90.00
_space_group_name_H-M_alt 'P m -3 m'
_space_group_IT_number 221
_space_group_name_Hall '-P 4 2 3'
loop_
_atom_site_label
_atom_site_type_symbol
_atom_site_fract_x
_atom_site_fract_y
_atom_site_fract_z
Ni1 Ni 0.0000 0.0000 0.5000
P1 P 0.0000 0.0000 0.0000
Ru1 Ru 0.5000 0.5000 0.5000

(7)
# NaCuNiPb2 | the Alexandria database | GGA-PBE | relaxed
# **Energy of formation**: 0.4144 eV/atom
# **Energy**: -16.5 eV per formula unit
# **D(E_F)**: 0.6741 states/eV per atom
data_NaCuNiPb2
_chemical_formula_sum 'Na1 Cu1 Ni1 Pb2'
_cell_length_a 5.1788
_cell_length_b 5.1788
_cell_length_c 4.6657
_cell_angle_alpha 90.00
_cell_angle_beta 90.00
_cell_angle_gamma 90.00
_space_group_name_H-M_alt 'P 4/m m m'
_space_group_IT_number 123
_space_group_name_Hall '-P 4 2'
loop_
_atom_site_label
_atom_site_type_symbol
_atom_site_fract_x
_atom_site_fract_y
_atom_site_fract_z
Na1 Na 0.0000 0.0000 0.0000
Cu1 Cu 0.5000 0.5000 0.5000
Ni1 Ni 0.5000 0.5000 0.0000
Pb1 Pb 0.0000 0.5000 0.5000

(8)
# Nd5SmIn6 | the Alexandria database | GGA-PBE | relaxed
# **Energy of formation**: -0.4945 eV/atom
# **Energy**: -50.9 eV per formula unit
# **D(E_F)**: 0.4711 states/eV per atom
data_Nd5SmIn6
_chemical_formula_sum 'Nd10 Sm2 In12'
_cell_length_a 9.4698
_cell_length_b 16.4062
_cell_length_c 5.4649
_cell_angle_alpha 90.00
_cell_angle_beta 125.19
_cell_angle_gamma 90.00
_space_group_name_H-M_alt 'C 1 2/m 1'
_space_group_IT_number 12
loop_
_space_group_symop_operation_xyz
'x,y,z'
'-x,-y,-z'
'-x,y,-z'
'x,-y,z'
'x+1/2,y+1/2,z'
'-x+1/2,-y+1/2,-z'
'-x+1/2,y+1/2,-z'
'x+1/2,-y+1/2,z'
loop_
_atom_site_label
_atom_site_type_symbol
_atom_site_fract_x
_atom_site_fract_y
_atom_site_fract_z
Nd1 Nd 0.0000 0.0000 0.0000
Nd2 Nd 0.0000 0.1661 0.5000
Nd3 Nd 0.0000 0.3319 0.0000
Sm1 Sm 0.0000 0.5000 0.5000
In1 In 0.2461 0.5000 0.2461
In2 In 0.2480 0.3344 0.7479

(9)
# Sb2OsRhC | the Alexandria database | GGA-PBE | relaxed
# **Energy**: -30.6 eV per formula unit
# **Formation energy (no corrections)**: 1.096 eV/atom
# **Polymorph energy (0 for the lowest one)**: 0.230 eV per atom
# **D(E_F)**: 1.1034 states/eV per atom
data_Sb2OsRhC
_chemical_formula_sum 'Sb2 Os1 Rh1 C1'
_cell_length_a 4.7441
_cell_length_b 4.7441
_cell_length_c 3.8570
_cell_angle_alpha 90.00
_cell_angle_beta 90.00
_cell_angle_gamma 90.00
_space_group_name_H-M_alt 'P 4/m m m'
_space_group_IT_number 123
_space_group_name_Hall '-P 4 2'
loop_
_atom_site_label
_atom_site_type_symbol
_atom_site_fract_x
_atom_site_fract_y
_atom_site_fract_z
Sb1 Sb 0.0000 0.5000 0.0000
Os1 Os 0.0000 0.0000 0.5000
Rh1 Rh 0.5000 0.5000 0.5000
C1 C 0.5000 0.5000 0.0000

(10)
# CsRbAu4 | the Alexandria database | GGA-PBE | relaxed
# **Energy of formation**: -0.1490 eV/atom
# **Energy**: -15.8 eV per formula unit
# **Polymorph energy (0 for the lowest one)**: 0.081 eV per atom
# **D(E_F)**: 0.2162 states/eV per atom
data_CsRbAu4
_chemical_formula_sum 'Cs4 Rb4 Au16'
_cell_length_a 8.5557
_cell_length_b 8.5557
_cell_length_c 8.5557
_cell_angle_alpha 90.00
_cell_angle_beta 90.00
_cell_angle_gamma 90.00
_space_group_name_H-M_alt 'F -4 3 m'
_space_group_IT_number 216
_space_group_name_Hall 'F -4 2 3'
loop_
_atom_site_label
_atom_site_type_symbol
_atom_site_fract_x
_atom_site_fract_y
_atom_site_fract_z
Cs1 Cs 0.0000 0.0000 0.0000
Rb1 Rb 0.2500 0.2500 0.2500
Au1 Au 0.1247 0.1247 0.6247

(11)
# AlTlSCl2 | the Alexandria database | GGA-PBE | relaxed
# **Energy**: -14.2 eV per formula unit
# **Formation energy (no corrections)**: -0.063 eV/atom
# **Polymorph energy (0 for the lowest one)**: 0.846 eV per atom
# **D(E_F)**: 0.5776 states/eV per atom
data_AlTlSCl2
_chemical_formula_sum 'Al1 Tl1 S1 Cl2'
_cell_length_a 5.3927
_cell_length_b 5.3927
_cell_length_c 5.1058
_cell_angle_alpha 90.00
_cell_angle_beta 90.00
_cell_angle_gamma 90.00
_space_group_name_H-M_alt 'P 4/m m m'
_space_group_IT_number 123
_space_group_name_Hall '-P 4 2'
loop_
_atom_site_label
_atom_site_type_symbol
_atom_site_fract_x
_atom_site_fract_y
_atom_site_fract_z
Al1 Al 0.0000 0.0000 0.0000
Tl1 Tl 0.5000 0.5000 0.5000
S1 S 0.5000 0.5000 0.0000
Cl1 Cl 0.0000 0.5000 0.5000

(12)
# SnP2Pd | the Alexandria database | GGA-PBE | relaxed
# **Energy of formation**: 0.3103 eV/atom
# **Energy**: -18.8 eV per formula unit
# **D(E_F)**: 0.6309 states/eV per atom
data_SnP2Pd
_chemical_formula_sum 'Sn3 P6 Pd3'
_cell_length_a 3.6467
_cell_length_b 3.6467
_cell_length_c 23.2129
_cell_angle_alpha 90.00
_cell_angle_beta 90.00
_cell_angle_gamma 120.00
_space_group_name_H-M_alt 'R -3 m'
_space_group_IT_number 166
_space_group_name_Hall '-R 3 2"'
loop_
_atom_site_label
_atom_site_type_symbol
_atom_site_fract_x
_atom_site_fract_y
_atom_site_fract_z
Sn1 Sn 0.0000 0.0000 0.0000
P1 P 0.0000 0.0000 0.4024
Pd1 Pd 0.0000 0.0000 0.5000

(13)
# LaPm12Pr5 | the Alexandria database | GGA-PBE | relaxed
# **Energy of formation**: 0.0913 eV/atom
# **Energy**: -84.2 eV per formula unit
# **D(E_F)**: 1.6650 states/eV per atom
data_LaPm12Pr5
_chemical_formula_sum 'La2 Pm24 Pr10'
_cell_length_a 11.7266
_cell_length_b 17.7695
_cell_length_c 6.1131
_cell_angle_alpha 90.00
_cell_angle_beta 90.12
_cell_angle_gamma 90.00
_space_group_name_H-M_alt 'C 1 2/m 1'
_space_group_IT_number 12
loop_
_space_group_symop_operation_xyz
'x,y,z'
'-x,-y,-z'
'-x,y,-z'
'x,-y,z'
'x+1/2,y+1/2,z'
'-x+1/2,-y+1/2,-z'
'-x+1/2,y+1/2,-z'
'x+1/2,-y+1/2,z'
loop_
_atom_site_label
_atom_site_type_symbol
_atom_site_fract_x
_atom_site_fract_y
_atom_site_fract_z
La1 La 0.0000 0.0000 0.0000
Pm1 Pm 0.1764 0.5000 0.9490
Pm2 Pm 0.1780 0.3333 0.5535
Pm3 Pm 0.1786 0.0000 0.5511
Pm4 Pm 0.1792 0.1667 0.9460
Pr1 Pr 0.0000 0.1671 0.5000
Pr2 Pr 0.0000 0.3320 0.0000
Pr3 Pr 0.0000 0.5000 0.5000

(14)
# ZrCoGeMo2 | the Alexandria database | GGA-PBE | relaxed
# **Energy of formation**: 0.7144 eV/atom
# **Energy**: -38.4 eV per formula unit
# **D(E_F)**: 1.2396 states/eV per atom
data_ZrCoGeMo2
_chemical_formula_sum 'Zr1 Co1 Ge1 Mo2'
_cell_length_a 4.4558
_cell_length_b 4.4558
_cell_length_c 4.7728
_cell_angle_alpha 90.00
_cell_angle_beta 90.00
_cell_angle_gamma 90.00
_space_group_name_H-M_alt 'P 4/m m m'
_space_group_IT_number 123
_space_group_name_Hall '-P 4 2'
loop_
_atom_site_label
_atom_site_type_symbol
_atom_site_fract_x
_atom_site_fract_y
_atom_site_fract_z
Zr1 Zr 0.0000 0.0000 0.0000
Co1 Co 0.0000 0.0000 0.5000
Ge1 Ge 0.5000 0.5000 0.0000
Mo1 Mo 0.0000 0.5000 0.5000

(15)
# CeCo2Sn | the Alexandria database | GGA-PBE | relaxed
# **Energy of formation**: 0.1313 eV/atom
# **Energy**: -23.6 eV per formula unit
# **D(E_F)**: 0.8662 states/eV per atom
data_CeCo2Sn
_chemical_formula_sum 'Ce3 Co6 Sn3'
_cell_length_a 4.2346
_cell_length_b 4.2346
_cell_length_c 17.3353
_cell_angle_alpha 90.00
_cell_angle_beta 90.00
_cell_angle_gamma 120.00
_space_group_name_H-M_alt 'R -3 m'
_space_group_IT_number 166
_space_group_name_Hall '-R 3 2"'
loop_
_atom_site_label
_atom_site_type_symbol
_atom_site_fract_x
_atom_site_fract_y
_atom_site_fract_z
Ce1 Ce 0.0000 0.0000 0.0000
Co1 Co 0.0000 0.0000 0.3598
Sn1 Sn 0.0000 0.0000 0.5000

(16)
# Pm4Te2PBr | the Alexandria database | GGA-PBE | relaxed
# **Energy**: -43.8 eV per formula unit
# **Formation energy (no corrections)**: -1.424 eV/atom
# **D(E_F)**: 0.3996 states/eV per atom
data_Pm4Te2PBr
_chemical_formula_sum 'Pm4 Te2 P1 Br1'
_cell_length_a 7.5514
_cell_length_b 4.2410
_cell_length_c 7.6019
_cell_angle_alpha 90.00
_cell_angle_beta 108.34
_cell_angle_gamma 90.00
_space_group_name_H-M_alt 'P 1 2/m 1'
_space_group_IT_number 10
loop_
_space_group_symop_operation_xyz
'x,y,z'
'-x,-y,-z'
'-x,y,-z'
'x,-y,z'
loop_
_atom_site_label
_atom_site_type_symbol
_atom_site_fract_x
_atom_site_fract_y
_atom_site_fract_z
Pm1 Pm 0.2137 0.0000 0.2161
Pm2 Pm 0.2257 0.5000 0.7721
Te1 Te 0.5000 0.0000 0.0000
Te2 Te 0.5000 0.5000 0.5000
P1 P 0.0000 0.5000 0.0000
Br1 Br 0.0000 0.0000 0.5000

(17)
# MoCl2 | the Alexandria database | GGA-PBE | relaxed
# **Energy**: -11.7 eV per formula unit
# **Formation energy (no corrections)**: 0.953 eV/atom
# **Polymorph energy (0 for the lowest one)**: 1.893 eV per atom
# **D(E_F)**: 1.1847 states/eV per atom
data_MoCl2
_chemical_formula_sum 'Mo1 Cl2'
_cell_length_a 4.7801
_cell_length_b 4.7801
_cell_length_c 3.0688
_cell_angle_alpha 90.00
_cell_angle_beta 90.00
_cell_angle_gamma 120.00
_space_group_name_H-M_alt 'P 6/m m m'
_space_group_IT_number 191
_space_group_name_Hall '-P 6 2'
loop_
_atom_site_label
_atom_site_type_symbol
_atom_site_fract_x
_atom_site_fract_y
_atom_site_fract_z
Mo1 Mo 0.0000 0.0000 0.0000
Cl1 Cl 0.3333 0.6667 0.5000

(18)
# LaYHfP2 | the Alexandria database | GGA-PBE | relaxed
# **Energy of formation**: 0.8528 eV/atom
# **Energy**: -27.9 eV per formula unit
# **D(E_F)**: 1.5610 states/eV per atom
data_LaYHfP2
_chemical_formula_sum 'La1 Y1 Hf1 P2'
_cell_length_a 5.3438
_cell_length_b 5.3438
_cell_length_c 5.2540
_cell_angle_alpha 90.00
_cell_angle_beta 90.00
_cell_angle_gamma 90.00
_space_group_name_H-M_alt 'P 4/m m m'
_space_group_IT_number 123
_space_group_name_Hall '-P 4 2'
loop_
_atom_site_label
_atom_site_type_symbol
_atom_site_fract_x
_atom_site_fract_y
_atom_site_fract_z
La1 La 0.0000 0.0000 0.0000
Y1 Y 0.5000 0.5000 0.5000
Hf1 Hf 0.0000 0.0000 0.5000
P1 P 0.0000 0.5000 0.0000

(19)
# BaBe2Hg | the Alexandria database | GGA-PBE | relaxed
# **Energy of formation**: 0.1169 eV/atom
# **Energy**: -9.2 eV per formula unit
# **D(E_F)**: 0.5630 states/eV per atom
data_BaBe2Hg
_chemical_formula_sum 'Ba2 Be4 Hg2'
_cell_length_a 7.2458
_cell_length_b 4.1883
_cell_length_c 6.4963
_cell_angle_alpha 90.00
_cell_angle_beta 110.81
_cell_angle_gamma 90.00
_space_group_name_H-M_alt 'C 1 m 1'
_space_group_IT_number 8
loop_
_space_group_symop_operation_xyz
'x,y,z'
'x,-y,z'
'x+1/2,y+1/2,z'
'x+1/2,-y+1/2,z'
loop_
_atom_site_label
_atom_site_type_symbol
_atom_site_fract_x
_atom_site_fract_y
_atom_site_fract_z
Ba1 Ba 0.0000 0.0000 0.0000
Be1 Be 0.9996 0.5000 0.5132
Be2 Be 0.1774 0.0000 0.5452
Hg1 Hg 0.3112 0.5000 0.4456

(20)
# SbO4 | the Alexandria database | GGA-PBE | relaxed
# **Energy**: -24.8 eV per formula unit
# **Formation energy (no corrections)**: -0.178 eV/atom
# **Polymorph energy (0 for the lowest one)**: 0.000 eV per atom
# **D(E_F)**: 0.5099 states/eV per atom
data_SbO4
_chemical_formula_sum 'Sb8 O32'
_cell_length_a 7.3316
_cell_length_b 7.3865
_cell_length_c 10.4568
_cell_angle_alpha 90.00
_cell_angle_beta 90.00
_cell_angle_gamma 90.00
_space_group_name_H-M_alt 'I m m a'
_space_group_IT_number 74
_space_group_name_Hall '-I 2b 2'
loop_
_atom_site_label
_atom_site_type_symbol
_atom_site_fract_x
_atom_site_fract_y
_atom_site_fract_z
Sb1 Sb 0.0000 0.0000 0.0000
Sb2 Sb 0.2500 0.2500 0.2500
O1 O 0.0000 0.2500 0.3238
O2 O 0.0000 0.2500 0.6230
O3 O 0.0000 0.2500 0.9281
O4 O 0.1991 0.0514 0.1250
O5 O 0.2500 0.2500 0.7500